# AlRe2Ir (PBE, optimized geometry)
# Energy relative to the elements (eV/f.u.): -0.192
# Magnetization (μB/f.u.): 0.00
# Crystal system: cubic
data_AlRe2Ir
_chemical_formula_sum 'Al4 Re8 Ir4'
_symmetry_space_group_name_H-M 'F -4 3 m'
_symmetry_Int_Tables_number 216
_symmetry_space_group_name_Hall 'F -4 2 3'
_cell_length_a 6.1678
_cell_length_b 6.1678
_cell_length_c 6.1678
_cell_angle_alpha 90.00
_cell_angle_beta 90.00
_cell_angle_gamma 90.00
loop_
_atom_site_label
_atom_site_fract_x
_atom_site_fract_y
_atom_site_fract_z
_atom_site_occupancy
Al1 0.0000 0.0000 0.0000 1
Re1 0.0000 0.0000 0.5000 1
Re2 0.2500 0.2500 0.7500 1
Ir1 0.2500 0.2500 0.2500 1